VASP calculation (PBE) on an optimized crystal structure of CaHo2Sn9. Values from VASP.

```
&SYSTEM
  ibrav = 0, nat = 12, ntyp = 3
/
ATOMIC_SPECIES
Ca 40.08 Ca.upf
Ho 164.93 Ho.upf
Sn 118.71 Sn.upf
CELL_PARAMETERS angstrom
4.796 0.000 0.000
0.000 4.796 0.000
0.000 0.000 13.770
ATOMIC_POSITIONS angstrom
Ca 0.000 0.000 0.000
Ho 0.000 0.000 4.630
Ho 0.000 0.000 9.140
Sn 0.000 2.398 2.333
Sn 0.000 2.398 6.885
Sn 0.000 2.398 11.437
Sn 2.398 0.000 2.333
Sn 2.398 0.000 6.885
Sn 2.398 0.000 11.437
Sn 2.398 2.398 0.000
Sn 2.398 2.398 4.604
Sn 2.398 2.398 9.166
```

Summary:
The uncorrected energy comes out at -4.336 eV/atom.

***

VASP calculation (PBE) on an optimized crystal structure of La3SmTm2. Values from VASP.

```
&SYSTEM
  ibrav = 0, nat = 12, ntyp = 3
/
ATOMIC_SPECIES
La 138.91 La.upf
Sm 150.36 Sm.upf
Tm 168.93 Tm.upf
CELL_PARAMETERS angstrom
-3.657 8.807 3.269
3.657 -8.807 3.269
3.657 8.807 -3.269
ATOMIC_POSITIONS angstrom
La 3.657 4.403 0.140
La 0.000 1.224 1.588
La 3.657 1.224 1.680
La 0.000 7.583 1.588
La 3.657 7.583 1.680
La 0.000 4.403 3.128
Sm 3.657 -4.403 3.124
Sm 0.000 13.210 0.145
Tm 1.829 6.959 -1.634
Tm 1.829 -1.847 1.634
Tm -1.829 10.654 1.634
Tm 1.829 10.654 1.634
```

Summary:
The value obtained for the distance to the lowest polymorph of the same formula is 0.0000 eV per atom.

***

VASP calculation (PBE) on an optimized crystal structure of Ti4CoRe2. Values from VASP.

```
&SYSTEM
  ibrav = 0, nat = 7, ntyp = 3
/
ATOMIC_SPECIES
Ti 47.87 Ti.upf
Co 58.93 Co.upf
Re 186.21 Re.upf
CELL_PARAMETERS angstrom
-3.019 3.019 3.095
3.019 -3.019 3.095
3.019 3.019 -3.095
ATOMIC_POSITIONS angstrom
Ti 1.510 1.510 -1.548
Ti 1.510 -1.510 1.548
Ti -1.510 1.510 1.548
Ti 1.510 1.510 1.548
Co 0.000 0.000 0.000
Re 3.019 0.000 0.000
Re 0.000 3.019 0.000
```

Summary:
The uncorrected energy comes out at -9.245 eV/atom.

***

VASP calculation (PBE) on an optimized crystal structure of LaNiAg2. Values from VASP.

```
&SYSTEM
  ibrav = 0, nat = 4, ntyp = 3
/
ATOMIC_SPECIES
La 138.91 La.upf
Ni 58.69 Ni.upf
Ag 107.87 Ag.upf
CELL_PARAMETERS angstrom
0.000 3.475 3.475
3.475 0.000 3.475
3.475 3.475 0.000
ATOMIC_POSITIONS angstrom
La 0.000 0.000 0.000
Ni 5.213 5.213 5.213
Ag 1.738 1.738 1.738
Ag 3.475 3.475 3.475
```

Summary:
The uncorrected energy comes out at -4.157 eV/atom.

***

VASP calculation (PBE) on an optimized crystal structure of Na3Mg. Values from VASP.

```
&SYSTEM
  ibrav = 0, nat = 8, ntyp = 2
/
ATOMIC_SPECIES
Na 22.99 Na.upf
Mg 24.30 Mg.upf
CELL_PARAMETERS angstrom
-2.519 2.519 10.185
2.519 -2.519 10.185
2.519 2.519 -10.185
ATOMIC_POSITIONS angstrom
Na 2.519 0.000 0.000
Na 0.000 0.000 2.563
Na 2.519 0.000 5.092
Na 0.000 2.519 0.000
Na 0.000 2.519 5.092
Na 0.000 0.000 17.807
Mg 0.000 0.000 7.628
Mg 0.000 0.000 12.742
```

Summary:
The uncorrected energy comes out at -1.304 eV/atom.

***

VASP calculation (PBE) on an optimized crystal structure of RbGeH2F8. Values from VASP.

```
&SYSTEM
  ibrav = 0, nat = 12, ntyp = 4
/
ATOMIC_SPECIES
Rb 85.47 Rb.upf
Ge 72.64 Ge.upf
H 1.01 H.upf
F 19.00 F.upf
CELL_PARAMETERS angstrom
4.075 -2.508 0.000
4.075 2.508 0.000
-2.149 0.000 8.126
ATOMIC_POSITIONS angstrom
Rb 0.000 0.000 0.000
Ge -1.074 0.000 4.063
H 3.009 0.000 2.739
H 2.991 0.000 5.387
F 0.648 0.000 4.020
F 2.983 1.160 2.692
F 3.017 1.160 5.435
F 1.000 0.000 7.701
F 5.000 0.000 0.426
F 2.983 -1.160 2.692
F 3.017 -1.160 5.435
F 5.353 0.000 4.107
```

Summary:
The uncorrected energy comes out at -4.191 eV/atom.

***

VASP calculation (PBE) on an optimized crystal structure of HfRe2Bi. Values from VASP.

```
&SYSTEM
  ibrav = 0, nat = 8, ntyp = 3
/
ATOMIC_SPECIES
Hf 178.49 Hf.upf
Re 186.21 Re.upf
Bi 208.98 Bi.upf
CELL_PARAMETERS angstrom
-2.055 2.055 10.184
2.055 -2.055 10.184
2.055 2.055 -10.184
ATOMIC_POSITIONS angstrom
Hf 0.000 0.000 0.000
Hf 0.000 2.055 5.092
Re 3.082 0.693 -2.546
Re 0.693 1.027 2.546
Re -1.027 1.362 7.638
Re 1.362 1.027 12.730
Bi 2.055 0.000 5.092
Bi 0.000 0.000 10.184
```

Summary:
The uncorrected energy comes out at -8.865 eV/atom.

***

VASP calculation (PBE) on an optimized crystal structure of Pm2ZrN3. Values from VASP.

```
&SYSTEM
  ibrav = 0, nat = 6, ntyp = 3
/
ATOMIC_SPECIES
Pm 145.00 Pm.upf
Zr 91.22 Zr.upf
N 14.01 N.upf
CELL_PARAMETERS angstrom
-1.753 1.753 7.387
1.753 -1.753 7.387
1.753 1.753 -7.387
ATOMIC_POSITIONS angstrom
Pm 0.000 0.000 2.402
Pm 0.000 0.000 12.371
Zr 0.000 0.000 7.387
N 0.000 0.000 0.000
N 0.000 0.000 5.124
N 0.000 0.000 9.650
```

Summary:
As for the uncorrected formation energy: -1473 meV per atom.

***

VASP calculation (PBE) on an optimized crystal structure of La2MgPd5. Values from VASP.

```
&SYSTEM
  ibrav = 0, nat = 8, ntyp = 3
/
ATOMIC_SPECIES
La 138.91 La.upf
Mg 24.30 Mg.upf
Pd 106.42 Pd.upf
CELL_PARAMETERS angstrom
-3.210 3.210 3.982
3.210 -3.210 3.982
3.210 3.210 -3.982
ATOMIC_POSITIONS angstrom
La 3.210 0.000 0.000
La 0.000 3.210 0.000
Mg 0.000 0.000 2.712
Pd 0.000 0.000 0.018
Pd 1.798 1.798 1.910
Pd 1.412 -1.412 5.892
Pd -1.412 1.412 5.892
Pd 1.412 1.412 5.892
```

Summary:
The uncorrected energy comes out at -5.397 eV/atom.

***

VASP calculation (PBE) on an optimized crystal structure of Sm4TmTe4. Values from VASP.

```
&SYSTEM
  ibrav = 0, nat = 9, ntyp = 3
/
ATOMIC_SPECIES
Sm 150.36 Sm.upf
Tm 168.93 Tm.upf
Te 127.60 Te.upf
CELL_PARAMETERS angstrom
-3.671 3.671 6.056
3.671 -3.671 6.056
3.671 3.671 -6.056
ATOMIC_POSITIONS angstrom
Sm 3.671 0.000 0.000
Sm 0.000 0.000 1.801
Sm 0.000 3.671 0.000
Sm 0.000 0.000 10.311
Tm 0.000 0.000 6.056
Te 1.525 -1.525 4.150
Te 2.146 2.146 1.907
Te -1.525 1.525 4.150
Te 1.525 1.525 7.963
```

Summary:
As for the uncorrected formation energy: -811 meV per atom.

***

VASP calculation (PBE) on an optimized crystal structure of KCaRu3. Values from VASP.

```
&SYSTEM
  ibrav = 0, nat = 5, ntyp = 3
/
ATOMIC_SPECIES
K 39.10 K.upf
Ca 40.08 Ca.upf
Ru 101.07 Ru.upf
CELL_PARAMETERS angstrom
5.037 0.000 0.000
0.000 5.037 0.000
0.000 0.000 5.037
ATOMIC_POSITIONS angstrom
K 0.000 0.000 0.000
Ca 2.518 2.518 2.518
Ru 0.000 2.518 2.518
Ru 2.518 0.000 2.518
Ru 2.518 2.518 0.000
```

Summary:
The value obtained for the distance to the lowest polymorph of the same formula is 0.0000 eV per atom.

***

VASP calculation (PBE) on an optimized crystal structure of Zn2RhW. Values from VASP.

```
&SYSTEM
  ibrav = 0, nat = 4, ntyp = 3
/
ATOMIC_SPECIES
Zn 65.41 Zn.upf
Rh 102.91 Rh.upf
W 183.84 W.upf
CELL_PARAMETERS angstrom
-1.434 2.268 4.469
1.434 -2.268 4.469
1.434 2.268 -4.469
ATOMIC_POSITIONS angstrom
Zn 0.000 0.000 0.000
Zn 0.000 2.268 2.294
Rh 0.000 0.000 4.559
W 1.434 0.000 2.325
```

Summary:
The value obtained for the distance to the lowest polymorph of the same formula is 0.1909 eV per atom.

***

VASP calculation (PBE) on an optimized crystal structure of LiPdPt4. Values from VASP.

```
&SYSTEM
  ibrav = 0, nat = 6, ntyp = 3
/
ATOMIC_SPECIES
Li 6.94 Li.upf
Pd 106.42 Pd.upf
Pt 195.08 Pt.upf
CELL_PARAMETERS angstrom
0.000 3.705 3.705
3.705 0.000 3.705
3.705 3.705 0.000
ATOMIC_POSITIONS angstrom
Li 0.000 0.000 0.000
Pd 5.558 5.558 5.558
Pt 2.780 2.780 2.780
Pt 4.631 4.631 2.780
Pt 4.631 2.780 4.631
Pt 2.780 4.631 4.631
```

Summary:
The uncorrected energy comes out at -5.333 eV/atom.

***

VASP calculation (PBE) on an optimized crystal structure of Pm2Sm12Ho5. Values from VASP.

```
&SYSTEM
  ibrav = 0, nat = 19, ntyp = 3
/
ATOMIC_SPECIES
Pm 145.00 Pm.upf
Sm 150.36 Sm.upf
Ho 164.93 Ho.upf
CELL_PARAMETERS angstrom
7.928 -4.651 0.000
7.928 4.651 0.000
-0.199 0.000 8.685
ATOMIC_POSITIONS angstrom
Pm 7.928 3.023 0.000
Pm 7.928 -3.023 0.000
Sm 0.913 0.000 2.942
Sm 5.848 2.849 2.901
Sm 5.343 1.681 6.613
Sm 9.809 2.849 5.784
Sm 6.520 0.000 1.027
Sm 10.314 1.681 2.072
Sm 5.343 -1.681 6.613
Sm 9.137 0.000 7.658
Sm 5.848 -2.849 2.901
Sm 10.314 -1.681 2.072
Sm 9.809 -2.849 5.784
Sm 14.744 0.000 5.743
Ho 3.176 0.000 0.176
Ho 4.187 0.000 3.733
Ho 7.828 0.000 4.342
Ho 11.470 0.000 4.951
Ho 12.481 0.000 8.509
```

Summary:
The uncorrected energy comes out at -4.556 eV/atom.

***

VASP calculation (PBE) on an optimized crystal structure of Tb2Be4ZnIr3. Values from VASP.

```
&SYSTEM
  ibrav = 0, nat = 10, ntyp = 4
/
ATOMIC_SPECIES
Tb 158.93 Tb.upf
Be 9.01 Be.upf
Zn 65.41 Zn.upf
Ir 192.22 Ir.upf
CELL_PARAMETERS angstrom
3.945 0.000 0.000
0.000 3.945 0.000
0.000 0.000 9.631
ATOMIC_POSITIONS angstrom
Tb 0.000 1.972 2.351
Tb 1.972 0.000 7.280
Be 0.000 0.000 0.000
Be 0.000 1.972 6.088
Be 1.972 0.000 3.542
Be 1.972 1.972 0.000
Zn 0.000 0.000 4.815
Ir 0.000 1.972 8.422
Ir 1.972 0.000 1.209
Ir 1.972 1.972 4.815
```

Summary:
The uncorrected energy comes out at -5.747 eV/atom.

***

VASP calculation (PBE) on an optimized crystal structure of ZrTcNF2. Values from VASP.

```
&SYSTEM
  ibrav = 0, nat = 5, ntyp = 4
/
ATOMIC_SPECIES
Zr 91.22 Zr.upf
Tc 98.00 Tc.upf
N 14.01 N.upf
F 19.00 F.upf
CELL_PARAMETERS angstrom
4.189 0.000 0.000
0.000 4.189 0.000
0.000 0.000 3.875
ATOMIC_POSITIONS angstrom
Zr 0.000 0.000 0.000
Tc 2.095 2.095 1.937
N 2.095 2.095 0.000
F 0.000 2.095 1.937
F 2.095 0.000 1.937
```

Summary:
The value obtained for the distance to the lowest polymorph of the same formula is 0.3598 eV per atom. As for the uncorrected formation energy: -517 meV per atom.

***

VASP calculation (PBE) on an optimized crystal structure of SmDyHo2Tm5. Values from VASP.

```
&SYSTEM
  ibrav = 0, nat = 18, ntyp = 4
/
ATOMIC_SPECIES
Sm 150.36 Sm.upf
Dy 162.50 Dy.upf
Ho 164.93 Ho.upf
Tm 168.93 Tm.upf
CELL_PARAMETERS angstrom
2.771 -9.791 0.000
2.771 9.791 0.000
0.000 0.000 10.495
ATOMIC_POSITIONS angstrom
Sm 2.771 8.148 5.247
Sm 2.771 -8.148 0.000
Dy 2.771 3.927 0.609
Dy 2.771 -3.927 5.856
Ho 2.771 2.210 3.832
Ho 2.771 2.158 8.207
Ho 2.771 -2.158 2.960
Ho 2.771 -2.210 9.080
Tm 2.771 9.375 8.215
Tm 2.771 7.623 0.718
Tm 2.771 5.861 7.938
Tm 2.771 5.518 3.741
Tm 2.771 0.358 0.755
Tm 2.771 -0.358 6.002
Tm 2.771 -5.518 8.988
Tm 2.771 -5.861 2.690
Tm 2.771 -7.623 5.965
Tm 2.771 -9.375 2.967
```

Summary:
The uncorrected energy comes out at -4.375 eV/atom.

***

VASP calculation (PBE) on an optimized crystal structure of Li6SmAu12. Values from VASP.

```
&SYSTEM
  ibrav = 0, nat = 19, ntyp = 3
/
ATOMIC_SPECIES
Li 6.94 Li.upf
Sm 150.36 Sm.upf
Au 196.97 Au.upf
CELL_PARAMETERS angstrom
5.956 3.439 2.829
-5.956 3.439 2.829
0.000 -6.877 2.829
ATOMIC_POSITIONS angstrom
Li 0.000 -2.874 3.591
Li -2.489 1.437 3.591
Li -2.489 -1.437 4.896
Li 2.489 1.437 3.591
Li 2.489 -1.437 4.896
Li 0.000 2.874 4.896
Sm 0.000 0.000 0.000
Au -2.264 -3.921 4.244
Au -4.527 0.000 4.244
Au -1.465 -0.846 2.467
Au 1.465 -0.846 2.467
Au 0.000 1.692 2.467
Au 2.264 -3.921 4.244
Au -2.264 3.921 4.244
Au 0.000 -1.692 6.021
Au -1.465 0.846 6.021
Au 1.465 0.846 6.021
Au 4.527 0.000 4.244
Au 2.264 3.921 4.244
```

Summary:
The uncorrected energy comes out at -3.295 eV/atom.

***

VASP calculation (PBE) on an optimized crystal structure of Ce5HPt2. Values from VASP.

```
&SYSTEM
  ibrav = 0, nat = 8, ntyp = 3
/
ATOMIC_SPECIES
Ce 140.12 Ce.upf
H 1.01 H.upf
Pt 195.08 Pt.upf
CELL_PARAMETERS angstrom
-3.464 3.464 3.753
3.464 -3.464 3.753
3.464 3.464 -3.753
ATOMIC_POSITIONS angstrom
Ce 0.000 0.000 0.000
Ce 1.699 1.699 1.357
Ce 1.765 -1.765 5.110
Ce -1.765 1.765 5.110
Ce 1.765 1.765 5.110
H 0.000 0.000 5.132
Pt 3.464 0.000 3.163
Pt 0.000 3.464 3.163
```

Summary:
The uncorrected energy comes out at -6.091 eV/atom.

***

VASP calculation (PBE) on an optimized crystal structure of PmTm8Tl2. Values from VASP.

```
&SYSTEM
  ibrav = 0, nat = 11, ntyp = 3
/
ATOMIC_SPECIES
Pm 145.00 Pm.upf
Tm 168.93 Tm.upf
Tl 204.38 Tl.upf
CELL_PARAMETERS angstrom
4.385 -7.507 0.000
4.385 7.507 0.000
-2.195 0.000 5.090
ATOMIC_POSITIONS angstrom
Pm 0.000 0.000 0.000
Tm 0.471 1.706 3.160
Tm 4.385 4.224 0.000
Tm 0.471 -1.706 3.160
Tm 3.108 0.000 1.034
Tm 3.466 0.000 4.056
Tm 6.103 1.706 1.930
Tm 4.385 -4.224 0.000
Tm 6.103 -1.706 1.930
Tl 3.287 2.909 2.545
Tl 3.287 -2.909 2.545
```

Summary:
The uncorrected energy comes out at -4.102 eV/atom.

***

VASP calculation (PBE) on an optimized crystal structure of SiSe. Values from VASP.

```
&SYSTEM
  ibrav = 0, nat = 4, ntyp = 2
/
ATOMIC_SPECIES
Si 28.09 Si.upf
Se 78.96 Se.upf
CELL_PARAMETERS angstrom
0.000 3.309 3.309
3.309 0.000 3.309
3.309 3.309 0.000
ATOMIC_POSITIONS angstrom
Si 0.827 0.827 0.827
Si 5.792 5.792 5.792
Se 2.482 2.482 2.482
Se 4.137 4.137 4.137
```

Summary:
As for the uncorrected formation energy: 623 meV per atom.

***

VASP calculation (PBE) on an optimized crystal structure of YNb4Se8. Values from VASP.

```
&SYSTEM
  ibrav = 0, nat = 13, ntyp = 3
/
ATOMIC_SPECIES
Y 88.91 Y.upf
Nb 92.91 Nb.upf
Se 78.96 Se.upf
CELL_PARAMETERS angstrom
3.554 2.052 6.953
-3.554 2.052 6.953
0.000 -4.104 6.953
ATOMIC_POSITIONS angstrom
Y 0.000 0.000 0.000
Nb -3.554 0.000 10.429
Nb -1.777 1.026 3.476
Nb 1.777 1.026 3.476
Nb 0.000 0.000 10.429
Se 0.000 0.000 5.124
Se -1.720 -0.993 12.102
Se 0.000 -1.986 8.757
Se -1.720 0.993 8.757
Se 1.720 -0.993 12.102
Se 0.000 1.986 12.102
Se 1.720 0.993 8.757
Se 0.000 0.000 15.735
```

Summary:
As for the uncorrected formation energy: -956 meV per atom.

***

VASP calculation (PBE) on an optimized crystal structure of Li3PdAu. Values from VASP.

```
&SYSTEM
  ibrav = 0, nat = 5, ntyp = 3
/
ATOMIC_SPECIES
Li 6.94 Li.upf
Pd 106.42 Pd.upf
Au 196.97 Au.upf
CELL_PARAMETERS angstrom
4.642 0.000 0.000
0.000 4.642 0.000
0.000 0.000 4.642
ATOMIC_POSITIONS angstrom
Li 0.000 0.000 2.321
Li 0.000 2.321 0.000
Li 2.321 0.000 0.000
Pd 0.000 0.000 0.000
Au 2.321 2.321 2.321
```

Summary:
The value obtained for the distance to the lowest polymorph of the same formula is 0.3922 eV per atom.